Entry 1:
VASP calculation (PBE-GGA) on Cs2PI6N after structural relaxation.

Values from the calculation:
DOS(E_F) = 7.96 states/eV/cell
crystal system = tetragonal
ΔE_f (raw) = -3.5 kcal/mol of atoms

abc: 7.7582 7.7582 11.5155
angles: 90.00 90.00 90.00
Last column: nearest neighbours and their distance in Å.
Space group I4/mmm (No. 139)
One atom of each set of equivalent atoms:
Cs 0.0000 0.5000 0.2500  12 I 3.88-3.98
P 0.0000 0.0000 0.0000  6 I 2.84-2.85
I 0.0000 0.0000 0.2468  1 P 2.84, 1 N 2.92
I 0.2399 0.2399 0.5000  1 N 2.63, 1 P 2.85
N 0.0000 0.0000 0.5000  6 I 2.63-2.92

Entry 2:
VASP calculation (PBE-GGA) on CsPIN2 after structural relaxation.

Values from the calculation:
DOS(E_F) = 2.00 states/eV/cell
crystal system = tetragonal
ΔE_f (raw) = 31.3 kcal/mol of atoms
energy above the lowest structure with this stoichiometry = 0.000 eV per atom

abc: 4.6438 4.6438 5.6169
angles: 90.00 90.00 90.00
Last column: nearest neighbours and their distance in Å.
Space group P4/mmm (No. 123)
One atom of each set of equivalent atoms:
Cs 0.0000 0.0000 0.0000  4 I 3.28, 8 N 3.64
P 0.5000 0.5000 0.5000  4 N 2.32
I 0.5000 0.5000 0.0000  2 P 2.81
N 0.0000 0.5000 0.5000  2 P 2.32

Entry 3:
VASP calculation (PBE-GGA) on CsPI2N after structural relaxation.

Values from the calculation:
DOS(E_F) = 2.53 states/eV/cell
crystal system = tetragonal
ΔE_f (raw) = -1.2 kcal/mol of atoms
energy above the lowest structure with this stoichiometry = 0.000 eV per atom

abc: 6.7865 6.7865 3.4437
angles: 90.00 90.00 90.00
Last column: nearest neighbours and their distance in Å.
Space group P4/mmm (No. 123)
One atom of each set of equivalent atoms:
Cs 0.0000 0.0000 0.0000  2 Cs 3.44, 8 I 3.81
P 0.5000 0.5000 0.5000  2 N 1.72
I 0.0000 0.5000 0.5000  2 P 3.39, 2 I 3.44
N 0.5000 0.5000 0.0000  2 P 1.72

Entry 4:
VASP calculation (PBE-GGA) on CsPIN2 after structural relaxation.

Values from the calculation:
DOS(E_F) = 3.13 states/eV/cell
crystal system = tetragonal
ΔE_f (raw) = 56.2 kcal/mol of atoms
energy above the lowest structure with this stoichiometry = 1.078 eV per atom

abc: 4.4842 4.4842 8.0106
angles: 90.00 90.00 90.00
Last column: nearest neighbours and their distance in Å.
Space group P4/mmm (No. 123)
One atom of each set of equivalent atoms:
Cs 0.0000 0.0000 0.0000  4 N 2.24
P 0.5000 0.5000 0.5000  4 I 3.17
I 0.0000 0.0000 0.5000  4 P 3.17
N 0.0000 0.5000 0.0000  2 Cs 2.24

Entry 5:
VASP calculation (PBE-GGA) on CsPI2N after structural relaxation.

Values from the calculation:
DOS(E_F) = 11.92 states/eV/cell
crystal system = tetragonal
ΔE_f (raw) = 31.9 kcal/mol of atoms
energy above the lowest structure with this stoichiometry = 1.434 eV per atom

abc: 7.4318 7.4318 6.5845
angles: 90.00 90.00 90.00
Last column: nearest neighbours and their distance in Å.
Space group P4/mmm (No. 123)
One atom of each set of equivalent atoms:
Cs 0.0000 0.0000 0.0000  2 N 3.29
P 0.5000 0.5000 0.5000  8 I 4.96, 4 N 5.26
I 0.0000 0.5000 0.0000  2 Cs 3.72
N 0.0000 0.0000 0.5000  2 Cs 3.29

Entry 6:
VASP calculation (PBE-GGA) on CsRbIN2 after structural relaxation.

Values from the calculation:
DOS(E_F) = 3.11 states/eV/cell
crystal system = tetragonal
ΔE_f (raw) = 31.0 kcal/mol of atoms
energy above the lowest structure with this stoichiometry = 0.357 eV per atom

abc: 4.8074 4.8074 7.3575
angles: 90.00 90.00 90.00
Last column: nearest neighbours and their distance in Å.
Space group P4/mmm (No. 123)
One atom of each set of equivalent atoms:
Cs 0.0000 0.0000 0.0000  4 N 2.40
Rb 0.5000 0.5000 0.5000  4 I 3.40
I 0.0000 0.0000 0.5000  4 Rb 3.40, 2 Cs 3.68
N 0.0000 0.5000 0.0000  2 Cs 2.40

Entry 7:
VASP calculation (PBE-GGA) on CsRbIN2 after structural relaxation.

Values from the calculation:
DOS(E_F) = 1.82 states/eV/cell
crystal system = tetragonal
ΔE_f (raw) = 22.8 kcal/mol of atoms
energy above the lowest structure with this stoichiometry = 0.000 eV per atom

abc: 5.7401 5.7401 7.3763
angles: 90.00 90.00 90.00
Last column: nearest neighbours and their distance in Å.
Space group P4/mmm (No. 123)
One atom of each set of equivalent atoms:
Cs 0.0000 0.0000 0.0000  4 I 4.06
Rb 0.5000 0.5000 0.5000  4 N 2.87
I 0.5000 0.5000 0.0000  2 Rb 3.69, 4 Cs 4.06
N 0.0000 0.5000 0.5000  2 Rb 2.87

Entry 8:
VASP calculation (PBE-GGA) on CsReIN2 after structural relaxation.

Values from the calculation:
DOS(E_F) = 3.29 states/eV/cell
crystal system = tetragonal
ΔE_f (raw) = 70.2 kcal/mol of atoms
energy above the lowest structure with this stoichiometry = 2.201 eV per atom

abc: 4.4878 4.4878 7.2440
angles: 90.00 90.00 90.00
Last column: nearest neighbours and their distance in Å.
Space group P4/mmm (No. 123)
One atom of each set of equivalent atoms:
Cs 0.0000 0.0000 0.0000  4 N 2.24
Re 0.5000 0.5000 0.5000  4 I 3.17
I 0.0000 0.0000 0.5000  4 Re 3.17
N 0.0000 0.5000 0.0000  2 Cs 2.24

Entry 9:
VASP calculation (PBE-GGA) on CsReIN2 after structural relaxation.

Values from the calculation:
DOS(E_F) = 2.20 states/eV/cell
crystal system = tetragonal
ΔE_f (raw) = 19.4 kcal/mol of atoms
energy above the lowest structure with this stoichiometry = 0.000 eV per atom

abc: 4.2763 4.2763 5.6893
angles: 90.00 90.00 90.00
Last column: nearest neighbours and their distance in Å.
Space group P4/mmm (No. 123)
One atom of each set of equivalent atoms:
Cs 0.0000 0.0000 0.0000  4 I 3.02
Re 0.5000 0.5000 0.5000  4 N 2.14
I 0.5000 0.5000 0.0000  2 Re 2.84, 4 Cs 3.02
N 0.0000 0.5000 0.5000  2 Re 2.14

Entry 10:
VASP calculation (PBE-GGA) on CsRhIN2 after structural relaxation.

Values from the calculation:
DOS(E_F) = 1.13 states/eV/cell
crystal system = tetragonal
ΔE_f (raw) = 25.5 kcal/mol of atoms
energy above the lowest structure with this stoichiometry = 0.000 eV per atom

abc: 4.5662 4.5662 5.5654
angles: 90.00 90.00 90.00
Last column: nearest neighbours and their distance in Å.
Space group P4/mmm (No. 123)
One atom of each set of equivalent atoms:
Cs 0.0000 0.0000 0.0000  4 I 3.23, 8 N 3.60
Rh 0.5000 0.5000 0.5000  4 N 2.28
I 0.5000 0.5000 0.0000  2 Rh 2.78
N 0.0000 0.5000 0.5000  2 Rh 2.28

Entry 11:
VASP calculation (PBE-GGA) on CsRhIN2 after structural relaxation.

Values from the calculation:
DOS(E_F) = 3.68 states/eV/cell
crystal system = tetragonal
ΔE_f (raw) = 57.2 kcal/mol of atoms
energy above the lowest structure with this stoichiometry = 1.376 eV per atom

abc: 4.4462 4.4462 7.6904
angles: 90.00 90.00 90.00
Last column: nearest neighbours and their distance in Å.
Space group P4/mmm (No. 123)
One atom of each set of equivalent atoms:
Cs 0.0000 0.0000 0.0000  4 N 2.22
Rh 0.5000 0.5000 0.5000  4 I 3.14
I 0.0000 0.0000 0.5000  4 Rh 3.14
N 0.0000 0.5000 0.0000  2 Cs 2.22

Entry 12:
VASP calculation (PBE-GGA) on CsRuI2N after structural relaxation.

Values from the calculation:
DOS(E_F) = 3.67 states/eV/cell
crystal system = tetragonal
ΔE_f (raw) = -2.3 kcal/mol of atoms
energy above the lowest structure with this stoichiometry = 0.000 eV per atom

abc: 6.0544 6.0544 3.8074
angles: 90.00 90.00 90.00
Last column: nearest neighbours and their distance in Å.
Space group P4/mmm (No. 123)
One atom of each set of equivalent atoms:
Cs 0.0000 0.0000 0.0000  8 I 3.58, 2 Cs 3.81
Ru 0.5000 0.5000 0.5000  2 N 1.90
I 0.0000 0.5000 0.5000  2 Ru 3.03
N 0.5000 0.5000 0.0000  2 Ru 1.90

Entry 13:
VASP calculation (PBE-GGA) on CsRuI2N after structural relaxation.

Values from the calculation:
DOS(E_F) = 5.45 states/eV/cell
crystal system = tetragonal
ΔE_f (raw) = 42.9 kcal/mol of atoms
energy above the lowest structure with this stoichiometry = 1.961 eV per atom

abc: 6.9994 6.9994 4.7385
angles: 90.00 90.00 90.00
Last column: nearest neighbours and their distance in Å.
Space group P4/mmm (No. 123)
One atom of each set of equivalent atoms:
Cs 0.0000 0.0000 0.0000  2 N 2.37
Ru 0.5000 0.5000 0.5000  8 I 4.23
I 0.0000 0.5000 0.0000  2 Cs 3.50
N 0.0000 0.0000 0.5000  2 Cs 2.37

Entry 14:
VASP calculation (PBE-GGA) on CsSIN2 after structural relaxation.

Values from the calculation:
DOS(E_F) = 1.23 states/eV/cell
crystal system = tetragonal
ΔE_f (raw) = 34.7 kcal/mol of atoms
energy above the lowest structure with this stoichiometry = 0.000 eV per atom

abc: 4.8569 4.8569 5.6546
angles: 90.00 90.00 90.00
Last column: nearest neighbours and their distance in Å.
Space group P4/mmm (No. 123)
One atom of each set of equivalent atoms:
Cs 0.0000 0.0000 0.0000  4 I 3.43, 8 N 3.73
S 0.5000 0.5000 0.5000  4 N 2.43
I 0.5000 0.5000 0.0000  2 S 2.83
N 0.0000 0.5000 0.5000  2 S 2.43

Entry 15:
VASP calculation (PBE-GGA) on CsSI2N after structural relaxation.

Values from the calculation:
DOS(E_F) = 7.55 states/eV/cell
crystal system = tetragonal
ΔE_f (raw) = 29.4 kcal/mol of atoms
energy above the lowest structure with this stoichiometry = 1.165 eV per atom

abc: 7.3336 7.3336 6.2211
angles: 90.00 90.00 90.00
Last column: nearest neighbours and their distance in Å.
Space group P4/mmm (No. 123)
One atom of each set of equivalent atoms:
Cs 0.0000 0.0000 0.0000  2 N 3.11
S 0.5000 0.5000 0.5000  8 I 4.81, 4 N 5.19
I 0.0000 0.5000 0.0000  2 Cs 3.67
N 0.0000 0.0000 0.5000  2 Cs 3.11

Entry 16:
VASP calculation (PBE-GGA) on CsS2IN after structural relaxation.

Values from the calculation:
DOS(E_F) = 4.72 states/eV/cell
crystal system = tetragonal
ΔE_f (raw) = 17.7 kcal/mol of atoms

abc: 5.4381 5.4381 4.3003
angles: 90.00 90.00 90.00
Last column: nearest neighbours and their distance in Å.
Space group P4/mmm (No. 123)
One atom of each set of equivalent atoms:
Cs 0.0000 0.0000 0.0000  8 S 3.47, 4 N 3.85
S 0.0000 0.5000 0.5000  2 I 2.72
I 0.5000 0.5000 0.5000  2 N 2.15
N 0.5000 0.5000 0.0000  2 I 2.15

Entry 17:
VASP calculation (PBE-GGA) on CsSI2N after structural relaxation.

Values from the calculation:
DOS(E_F) = 4.02 states/eV/cell
crystal system = tetragonal
ΔE_f (raw) = 2.5 kcal/mol of atoms
energy above the lowest structure with this stoichiometry = 0.000 eV per atom

abc: 7.2786 7.2786 3.3879
angles: 90.00 90.00 90.00
Last column: nearest neighbours and their distance in Å.
Space group P4/mmm (No. 123)
One atom of each set of equivalent atoms:
Cs 0.0000 0.0000 0.0000  2 Cs 3.39
S 0.5000 0.5000 0.5000  2 N 1.69
I 0.0000 0.5000 0.5000  2 I 3.39, 2 S 3.64
N 0.5000 0.5000 0.0000  2 S 1.69

Entry 18:
VASP calculation (PBE-GGA) on CsSIN2 after structural relaxation.

Values from the calculation:
DOS(E_F) = 5.25 states/eV/cell
crystal system = tetragonal
ΔE_f (raw) = 53.0 kcal/mol of atoms
energy above the lowest structure with this stoichiometry = 0.792 eV per atom

abc: 4.4553 4.4553 7.2028
angles: 90.00 90.00 90.00
Last column: nearest neighbours and their distance in Å.
Space group P4/mmm (No. 123)
One atom of each set of equivalent atoms:
Cs 0.0000 0.0000 0.0000  4 N 2.23
S 0.0000 0.0000 0.5000  4 I 3.15
I 0.5000 0.5000 0.5000  4 S 3.15
N 0.0000 0.5000 0.0000  2 Cs 2.23

Entry 19:
VASP calculation (PBE-GGA) on CsSbIN2 after structural relaxation.

Values from the calculation:
DOS(E_F) = 3.09 states/eV/cell
crystal system = tetragonal
ΔE_f (raw) = 21.9 kcal/mol of atoms
energy above the lowest structure with this stoichiometry = 0.000 eV per atom

abc: 4.7040 4.7040 6.4077
angles: 90.00 90.00 90.00
Last column: nearest neighbours and their distance in Å.
Space group P4/mmm (No. 123)
One atom of each set of equivalent atoms:
Cs 0.0000 0.0000 0.0000  4 I 3.33
Sb 0.5000 0.5000 0.5000  4 N 2.35
I 0.5000 0.5000 0.0000  2 Sb 3.20, 4 Cs 3.33
N 0.0000 0.5000 0.5000  2 Sb 2.35

Entry 20:
VASP calculation (PBE-GGA) on CsSb2IN after structural relaxation.

Values from the calculation:
DOS(E_F) = 21.07 states/eV/cell
crystal system = tetragonal
ΔE_f (raw) = 55.0 kcal/mol of atoms
energy above the lowest structure with this stoichiometry = 2.036 eV per atom

abc: 6.4630 6.4630 6.6419
angles: 90.00 90.00 90.00
Last column: nearest neighbours and their distance in Å.
Space group P4/mmm (No. 123)
One atom of each set of equivalent atoms:
Cs 0.0000 0.0000 0.0000  4 Sb 3.23, 2 I 3.32
Sb 0.0000 0.5000 0.0000  2 Cs 3.23
I 0.0000 0.0000 0.5000  2 Cs 3.32
N 0.5000 0.5000 0.5000  4 I 4.57, 8 Sb 4.63